Below is crystalline SmDy3Pb3 at its relaxed geometry, with properties calculated at the GGA-PBE level.

Results
The formation energy comes out at -0.348 eV/atom. As for the total energy: -64.17 eV/cell. The value obtained for the spin magnetization is 0.00 μB per formula unit.

Cell: 8.1395 8.1395 8.1395 Å, 69.46 69.46 69.46°
Fractional coordinates of all 14 atoms:
Sm 0.1700 0.1700 0.1700
Sm 0.8300 0.8300 0.8300
Dy 0.1636 0.4114 0.6661
Dy 0.3339 0.8364 0.5886
Dy 0.4114 0.6661 0.1636
Dy 0.5886 0.3339 0.8364
Dy 0.6661 0.1636 0.4114
Dy 0.8364 0.5886 0.3339
Pb 0.0323 0.8103 0.4147
Pb 0.1897 0.5853 0.9677
Pb 0.4147 0.0323 0.8103
Pb 0.5853 0.9677 0.1897
Pb 0.8103 0.4147 0.0323
Pb 0.9677 0.1897 0.5853